(1)
# PBE DyMnNb, relaxed
# Total magnetization   0.5 μB per formula unit
# E   -23.5 eV/f.u.
# Energy relative to the elements   0.1104 eV/atom
data_DyMnNb
_chemical_formula_sum 'Dy2 Mn2 Nb2'
_space_group_name_H-M_alt 'P 1'
_space_group_IT_number 1
_cell_length_a 5.7660
_cell_length_b 5.7660
_cell_length_c 5.8645
_cell_angle_alpha 90.00
_cell_angle_beta 90.00
_cell_angle_gamma 141.45
loop_
_space_group_symop_operation_xyz
'x,y,z'
loop_
_atom_site_label
_atom_site_type_symbol
_atom_site_fract_x
_atom_site_fract_y
_atom_site_fract_z
Dy1 Dy 0.2160 0.7840 0.7500
Dy2 Dy 0.7840 0.2160 0.2500
Mn1 Mn 0.0636 0.9364 0.2500
Mn2 Mn 0.9364 0.0636 0.7500
Nb1 Nb 0.5000 0.5000 0.0000
Nb2 Nb 0.5000 0.5000 0.5000


(2)
# PBE Cd5InPd6, relaxed
# Total magnetization   0.0 μB per formula unit
# E   -43.6 eV/f.u.
# Energy relative to the elements   -0.4244 eV/atom
data_Cd5InPd6
_chemical_formula_sum 'Cd5 In1 Pd6'
_space_group_name_H-M_alt 'P 1'
_space_group_IT_number 1
_cell_length_a 4.6910
_cell_length_b 6.4168
_cell_length_c 7.2812
_cell_angle_alpha 90.00
_cell_angle_beta 105.60
_cell_angle_gamma 90.00
loop_
_space_group_symop_operation_xyz
'x,y,z'
loop_
_atom_site_label
_atom_site_type_symbol
_atom_site_fract_x
_atom_site_fract_y
_atom_site_fract_z
Cd1 Cd 0.0000 0.0000 0.0000
Cd2 Cd 0.3333 0.5000 0.6605
Cd3 Cd 0.3356 0.0000 0.6657
Cd4 Cd 0.6644 0.0000 0.3343
Cd5 Cd 0.6667 0.5000 0.3395
In1 In 0.0000 0.5000 0.0000
Pd1 Pd 0.1611 0.2509 0.3280
Pd2 Pd 0.1611 0.7491 0.3280
Pd3 Pd 0.5000 0.2561 0.0000
Pd4 Pd 0.5000 0.7439 0.0000
Pd5 Pd 0.8389 0.2509 0.6720
Pd6 Pd 0.8389 0.7491 0.6720


(3)
# PBE ErFe10Mo2, relaxed
# Total magnetization   18.5 μB per formula unit
# E   -111.1 eV/f.u.
# Energy relative to the elements   -0.0167 eV/atom
data_ErFe10Mo2
_chemical_formula_sum 'Er1 Fe10 Mo2'
_space_group_name_H-M_alt 'P 1'
_space_group_IT_number 1
_cell_length_a 6.4777
_cell_length_b 6.4777
_cell_length_c 6.4777
_cell_angle_alpha 137.24
_cell_angle_beta 98.05
_cell_angle_gamma 97.23
loop_
_space_group_symop_operation_xyz
'x,y,z'
loop_
_atom_site_label
_atom_site_type_symbol
_atom_site_fract_x
_atom_site_fract_y
_atom_site_fract_z
Er1 Er 0.0000 0.0000 0.0000
Fe1 Fe 0.0000 0.0000 0.5000
Fe2 Fe 0.0000 0.5000 0.0000
Fe3 Fe 0.2163 0.5000 0.7163
Fe4 Fe 0.2258 0.7258 0.5000
Fe5 Fe 0.3570 0.0000 0.3570
Fe6 Fe 0.5000 0.0000 0.0000
Fe7 Fe 0.5000 0.5000 0.5000
Fe8 Fe 0.6430 0.0000 0.6430
Fe9 Fe 0.7742 0.2742 0.5000
Fe10 Fe 0.7837 0.5000 0.2837
Mo1 Mo 0.3569 0.3569 0.0000
Mo2 Mo 0.6431 0.6431 0.0000


(4)
# PBE HoZnHg, relaxed
# Total magnetization   0.0 μB per formula unit
# E   -7.4 eV/f.u.
# Energy relative to the elements   -0.3990 eV/atom
data_HoZnHg
_chemical_formula_sum 'Ho2 Zn2 Hg2'
_space_group_name_H-M_alt 'P 1'
_space_group_IT_number 1
_cell_length_a 4.6776
_cell_length_b 4.6776
_cell_length_c 6.9580
_cell_angle_alpha 90.00
_cell_angle_beta 90.00
_cell_angle_gamma 120.00
loop_
_space_group_symop_operation_xyz
'x,y,z'
loop_
_atom_site_label
_atom_site_type_symbol
_atom_site_fract_x
_atom_site_fract_y
_atom_site_fract_z
Ho1 Ho 0.0000 0.0000 0.0000
Ho2 Ho 0.0000 0.0000 0.5000
Zn1 Zn 0.3333 0.6667 0.2500
Zn2 Zn 0.6667 0.3333 0.7500
Hg1 Hg 0.3333 0.6667 0.7500
Hg2 Hg 0.6667 0.3333 0.2500


(5)
# PBE Li4Nd3Ge4, relaxed
# Total magnetization   0.0 μB per formula unit
# E   -47.8 eV/f.u.
# Energy relative to the elements   -0.6683 eV/atom
data_Li4Nd3Ge4
_chemical_formula_sum 'Li4 Nd3 Ge4'
_space_group_name_H-M_alt 'P 1'
_space_group_IT_number 1
_cell_length_a 8.4332
_cell_length_b 8.4332
_cell_length_c 8.4332
_cell_angle_alpha 149.47
_cell_angle_beta 132.02
_cell_angle_gamma 57.94
loop_
_space_group_symop_operation_xyz
'x,y,z'
loop_
_atom_site_label
_atom_site_type_symbol
_atom_site_fract_x
_atom_site_fract_y
_atom_site_fract_z
Li1 Li 0.0185 0.8289 0.1895
Li2 Li 0.3606 0.1711 0.1895
Li3 Li 0.6394 0.8289 0.8105
Li4 Li 0.9815 0.1711 0.8105
Nd1 Nd 0.0000 0.5000 0.5000
Nd2 Nd 0.3693 0.3693 0.0000
Nd3 Nd 0.6307 0.6307 0.0000
Ge1 Ge 0.2137 0.7137 0.5000
Ge2 Ge 0.3141 0.0000 0.3141
Ge3 Ge 0.6859 0.0000 0.6859
Ge4 Ge 0.7863 0.2863 0.5000


(6)
# PBE ReAs3Ru, relaxed
# Distance to the lowest polymorph of the same formula   0.000 eV/atom
# Total magnetization   0.9 μB per formula unit
# E   -29.8 eV/f.u.
# Energy relative to the elements   1.1690 eV/atom
data_ReAs3Ru
_chemical_formula_sum 'Re1 As3 Ru1'
_space_group_name_H-M_alt 'P 1'
_space_group_IT_number 1
_cell_length_a 4.7681
_cell_length_b 4.7681
_cell_length_c 4.7681
_cell_angle_alpha 90.00
_cell_angle_beta 90.00
_cell_angle_gamma 90.00
loop_
_space_group_symop_operation_xyz
'x,y,z'
loop_
_atom_site_label
_atom_site_type_symbol
_atom_site_fract_x
_atom_site_fract_y
_atom_site_fract_z
Re1 Re 0.0000 0.0000 0.0000
As1 As 0.0000 0.0000 0.5000
As2 As 0.0000 0.5000 0.0000
As3 As 0.5000 0.0000 0.0000
Ru1 Ru 0.5000 0.5000 0.5000


Repeat the third record exactly.
# PBE ErFe10Mo2, relaxed
# Total magnetization   18.5 μB per formula unit
# E   -111.1 eV/f.u.
# Energy relative to the elements   -0.0167 eV/atom
data_ErFe10Mo2
_chemical_formula_sum 'Er1 Fe10 Mo2'
_space_group_name_H-M_alt 'P 1'
_space_group_IT_number 1
_cell_length_a 6.4777
_cell_length_b 6.4777
_cell_length_c 6.4777
_cell_angle_alpha 137.24
_cell_angle_beta 98.05
_cell_angle_gamma 97.23
loop_
_space_group_symop_operation_xyz
'x,y,z'
loop_
_atom_site_label
_atom_site_type_symbol
_atom_site_fract_x
_atom_site_fract_y
_atom_site_fract_z
Er1 Er 0.0000 0.0000 0.0000
Fe1 Fe 0.0000 0.0000 0.5000
Fe2 Fe 0.0000 0.5000 0.0000
Fe3 Fe 0.2163 0.5000 0.7163
Fe4 Fe 0.2258 0.7258 0.5000
Fe5 Fe 0.3570 0.0000 0.3570
Fe6 Fe 0.5000 0.0000 0.0000
Fe7 Fe 0.5000 0.5000 0.5000
Fe8 Fe 0.6430 0.0000 0.6430
Fe9 Fe 0.7742 0.2742 0.5000
Fe10 Fe 0.7837 0.5000 0.2837
Mo1 Mo 0.3569 0.3569 0.0000
Mo2 Mo 0.6431 0.6431 0.0000


Question: E of number 6 (ReAs3Ru)?
Answer: -29.8 eV/f.u.